(1)
# Ac2CeTh, optimized geometry, DFT GGA-PBE
data_Ac2CeTh
_chemical_formula_sum 'Ac6 Ce3 Th3'
_cell_length_a 3.6655
_cell_length_b 3.6655
_cell_length_c 39.0930
_cell_angle_alpha 90.00
_cell_angle_beta 90.00
_cell_angle_gamma 120.00
_symmetry_space_group_name_H-M 'R -3 m'
_symmetry_Int_Tables_number 166
_symmetry_space_group_name_Hall '-R 3 2"'
loop_
_atom_site_label
_atom_site_fract_x
_atom_site_fract_y
_atom_site_fract_z
_atom_site_occupancy
Ac1 0.0000 0.0000 0.0902 1
Ce1 0.0000 0.0000 0.5000 1
Th1 0.0000 0.0000 0.0000 1
# Total moment   0.47 μB per formula unit
# Crystal system   trigonal

(2)
# Ac2CeTh, optimized geometry, DFT GGA-PBE
data_Ac2CeTh
_chemical_formula_sum 'Ac2 Ce1 Th1'
_cell_length_a 5.2791
_cell_length_b 5.2791
_cell_length_c 5.2789
_cell_angle_alpha 90.00
_cell_angle_beta 90.00
_cell_angle_gamma 90.00
_symmetry_space_group_name_H-M 'P 4/m m m'
_symmetry_Int_Tables_number 123
_symmetry_space_group_name_Hall '-P 4 2'
loop_
_atom_site_label
_atom_site_fract_x
_atom_site_fract_y
_atom_site_fract_z
_atom_site_occupancy
Ac1 0.0000 0.5000 0.0000 1
Ce1 0.0000 0.0000 0.5000 1
Th1 0.5000 0.5000 0.5000 1
# Total moment   1.00 μB per formula unit
# Crystal system   tetragonal

Least stable structure: (1)

(1)
# AcCeTh2, optimized geometry, DFT GGA-PBE
data_AcCeTh2
_chemical_formula_sum 'Ac3 Ce3 Th6'
_cell_length_a 3.5717
_cell_length_b 3.5717
_cell_length_c 37.9300
_cell_angle_alpha 90.00
_cell_angle_beta 90.00
_cell_angle_gamma 120.00
_symmetry_space_group_name_H-M 'R -3 m'
_symmetry_Int_Tables_number 166
_symmetry_space_group_name_Hall '-R 3 2"'
loop_
_atom_site_label
_atom_site_fract_x
_atom_site_fract_y
_atom_site_fract_z
_atom_site_occupancy
Ac1 0.0000 0.0000 0.0000 1
Ce1 0.0000 0.0000 0.5000 1
Th1 0.0000 0.0000 0.0925 1
# Total moment   0.00 μB per formula unit
# Crystal system   trigonal

(2)
# AcCeTh2, optimized geometry, DFT GGA-PBE
data_AcCeTh2
_chemical_formula_sum 'Ac4 Ce4 Th8'
_cell_length_a 8.1684
_cell_length_b 8.1684
_cell_length_c 8.1684
_cell_angle_alpha 90.00
_cell_angle_beta 90.00
_cell_angle_gamma 90.00
_symmetry_space_group_name_H-M 'F m -3 m'
_symmetry_Int_Tables_number 225
_symmetry_space_group_name_Hall '-F 4 2 3'
loop_
_atom_site_label
_atom_site_fract_x
_atom_site_fract_y
_atom_site_fract_z
_atom_site_occupancy
Ac1 0.0000 0.0000 0.0000 1
Ce1 0.0000 0.0000 0.5000 1
Th1 0.2500 0.2500 0.2500 1
# Total moment   0.70 μB per formula unit
# Crystal system   cubic

Least stable structure: (2)

(1)
# AcCeTh2, optimized geometry, DFT GGA-PBE
data_AcCeTh2
_chemical_formula_sum 'Ac1 Ce1 Th2'
_cell_length_a 5.0652
_cell_length_b 5.0652
_cell_length_c 5.1808
_cell_angle_alpha 90.00
_cell_angle_beta 90.00
_cell_angle_gamma 90.00
_symmetry_space_group_name_H-M 'P 4/m m m'
_symmetry_Int_Tables_number 123
_symmetry_space_group_name_Hall '-P 4 2'
loop_
_atom_site_label
_atom_site_fract_x
_atom_site_fract_y
_atom_site_fract_z
_atom_site_occupancy
Ac1 0.0000 0.0000 0.0000 1
Ce1 0.5000 0.5000 0.0000 1
Th1 0.0000 0.5000 0.5000 1
# Total moment   0.13 μB per formula unit
# Crystal system   tetragonal

(2)
# AcCeTh2, optimized geometry, DFT GGA-PBE
data_AcCeTh2
_chemical_formula_sum 'Ac1 Ce1 Th2'
_cell_length_a 4.2002
_cell_length_b 4.2002
_cell_length_c 7.7710
_cell_angle_alpha 90.00
_cell_angle_beta 90.00
_cell_angle_gamma 90.00
_symmetry_space_group_name_H-M 'P 4/m m m'
_symmetry_Int_Tables_number 123
_symmetry_space_group_name_Hall '-P 4 2'
loop_
_atom_site_label
_atom_site_fract_x
_atom_site_fract_y
_atom_site_fract_z
_atom_site_occupancy
Ac1 0.0000 0.0000 0.0000 1
Ce1 0.0000 0.0000 0.5000 1
Th1 0.5000 0.5000 0.2901 1
# Total moment   0.00 μB per formula unit
# Crystal system   tetragonal

Least stable structure: (2)

(1)
# AcCeTh, optimized geometry, DFT GGA-PBE
data_AcCeTh
_chemical_formula_sum 'Ac1 Ce1 Th1'
_cell_length_a 3.6572
_cell_length_b 3.6572
_cell_length_c 8.9798
_cell_angle_alpha 90.00
_cell_angle_beta 90.00
_cell_angle_gamma 120.00
_symmetry_space_group_name_H-M 'P 3 m 1'
_symmetry_Int_Tables_number 156
loop_
_symmetry_equiv_pos_as_xyz
'x,y,z'
'-y,x-y,z'
'-x+y,-x,z'
'-y,-x,z'
'-x+y,y,z'
'x,x-y,z'
loop_
_atom_site_label
_atom_site_fract_x
_atom_site_fract_y
_atom_site_fract_z
_atom_site_occupancy
Ac1 0.0000 0.0000 0.0000 1
Ce1 0.6667 0.3333 0.3481 1
Th1 0.3333 0.6667 0.6569 1
# Total moment   0.92 μB per formula unit
# Crystal system   trigonal

(2)
# AcCeTh, optimized geometry, DFT GGA-PBE
data_AcCeTh
_chemical_formula_sum 'Ac6 Ce6 Th6'
_cell_length_a 3.6270
_cell_length_b 3.6270
_cell_length_c 56.4004
_cell_angle_alpha 90.00
_cell_angle_beta 90.00
_cell_angle_gamma 120.00
_symmetry_space_group_name_H-M 'R -3 m'
_symmetry_Int_Tables_number 166
_symmetry_space_group_name_Hall '-R 3 2"'
loop_
_atom_site_label
_atom_site_fract_x
_atom_site_fract_y
_atom_site_fract_z
_atom_site_occupancy
Ac1 0.0000 0.0000 0.1958 1
Ce1 0.0000 0.0000 0.2567 1
Th1 0.0000 0.0000 0.3593 1
# Total moment   0.87 μB per formula unit
# Crystal system   trigonal

(3)
# AcCeTh, optimized geometry, DFT GGA-PBE
data_AcCeTh
_chemical_formula_sum 'Ac2 Ce2 Th2'
_cell_length_a 3.6440
_cell_length_b 3.6440
_cell_length_c 15.7026
_cell_angle_alpha 90.00
_cell_angle_beta 90.00
_cell_angle_gamma 90.00
_symmetry_space_group_name_H-M 'I 4 m m'
_symmetry_Int_Tables_number 107
_symmetry_space_group_name_Hall 'I 4 -2'
loop_
_atom_site_label
_atom_site_fract_x
_atom_site_fract_y
_atom_site_fract_z
_atom_site_occupancy
Ac1 0.0000 0.0000 0.0000 1
Ce1 0.0000 0.0000 0.6798 1
Th1 0.0000 0.0000 0.3285 1
# Total moment   0.92 μB per formula unit
# Crystal system   tetragonal

Least stable structure: (2)